[1]
Compound: DyHoMgTi
Source: the Alexandria database
Functional: PBE-GGA
Structure: relaxed

POSCAR file:
```
DyHoMgTi
1.0
-0.511 4.929 1.702
-3.485 1.130 3.745
1.644 1.297 4.803
Dy Ho Ti Mg
1 1 1 1
Cartesian
0.000 0.000 0.000
-1.176 3.678 5.126
-0.588 1.839 2.563
-1.765 5.517 7.688
```

Computed properties:
Total energy (eV for the cell shown): -18.095
V (Å³ per atom): 25.430
Calculated formation energy (eV per atom): 0.14

***

[2]
Compound: In2SiGe
Source: the Alexandria database
Functional: PBE-GGA
Structure: relaxed

POSCAR file:
```
In2SiGe
1.0
3.731 -0.826 3.241
-0.776 -2.866 4.035
2.105 -4.537 0.293
Ge In Si
1 2 1
Cartesian
2.530 -4.115 3.784
1.265 -2.057 1.892
3.795 -6.172 5.677
0.000 0.000 0.000
```

Computed properties:
Formation energy (no corrections) (eV per atom): 0.366
Total energy (eV for the cell shown): -14.055
V (Å³ per atom): 22.233
Energy above the lowest structure with this stoichiometry (eV per atom): 0.0000

***

[3]
Compound: La3Th5Sb8
Source: the Alexandria database
Functional: PBE-GGA
Structure: relaxed

POSCAR file:
```
La3Th5Sb8
1.0
-8.069 3.942 1.371
-2.319 2.828 8.316
-0.456 8.905 1.806
Th Sb La
5 8 3
Cartesian
-4.034 1.971 0.686
-5.422 7.838 5.746
-5.194 3.385 4.843
-1.159 1.414 4.158
0.000 0.000 0.000
-8.114 11.799 8.610
-2.730 3.877 2.882
-6.752 5.867 3.583
-6.945 10.361 4.463
-7.903 7.271 7.710
-2.941 8.405 3.783
-3.899 5.315 7.029
-4.092 9.808 7.909
-0.228 4.453 0.903
-4.263 6.424 1.589
-1.388 5.867 5.061
```

Computed properties:
Formation energy (no corrections) (eV per atom): -1.058
Total energy (eV for the cell shown): -101.787
V (Å³ per atom): 33.207

***

[4]
Compound: AlV4Ga
Source: the Alexandria database
Functional: PBE-GGA
Structure: relaxed

POSCAR file:
```
AlV4Ga
1.0
-4.394 2.123 0.099
-0.957 -7.115 0.869
0.384 0.562 5.023
V Al Ga
8 2 2
Cartesian
-0.680 0.217 3.864
-1.622 -1.796 4.161
-3.263 0.607 2.826
-1.703 -5.037 3.165
-1.882 -5.299 0.823
-4.286 -4.647 2.126
-3.344 -2.633 1.829
-3.084 0.869 5.167
-3.588 -3.825 4.539
-1.378 -0.605 1.452
-0.832 -3.047 1.683
-4.135 -1.382 4.307
```

Computed properties:
Total energy (eV for the cell shown): -87.185
V (Å³ per atom): 14.192
Calculated formation energy (eV per atom): -0.06
Energy above the lowest structure with this stoichiometry (eV per atom): 0.1321

***

[5]
Compound: TbPm2Ho
Source: the Alexandria database
Functional: PBE-GGA
Structure: relaxed

POSCAR file:
```
TbPm2Ho
1.0
-0.804 -1.110 -4.871
-4.718 -1.554 1.133
-1.745 4.722 -0.788
Tb Pm Ho
1 2 1
Cartesian
-3.634 1.029 -2.263
-2.359 -0.777 0.566
-0.872 2.361 -0.394
-0.402 -0.555 -2.435
```

Computed properties:
Total energy (eV for the cell shown): -18.633
V (Å³ per atom): 32.842
Calculated formation energy (eV per atom): 0.02
Energy above the lowest structure with this stoichiometry (eV per atom): 0.0062

***

[6]
Compound: CsSi2Sb
Source: the Alexandria database
Functional: PBE-GGA
Structure: relaxed

POSCAR file:
```
CsSi2Sb
1.0
5.240 0.000 0.000
0.000 5.240 0.000
2.620 2.620 9.678
Cs Si Sb
2 4 2
Cartesian
0.000 0.000 0.000
5.240 2.620 4.839
3.930 5.241 7.259
6.550 5.239 7.259
2.619 1.310 2.420
2.621 3.930 2.420
2.620 2.620 0.000
2.620 5.240 4.839
```

Computed properties:
Formation energy (no corrections) (eV per atom): 0.313
Total energy (eV for the cell shown): -29.138
V (Å³ per atom): 33.216

***

[7]
Compound: Y2MgTeC
Source: the Alexandria database
Functional: PBE-GGA
Structure: relaxed

POSCAR file:
```
Y2MgTeC
1.0
-0.689 -0.943 4.897
-2.263 -4.346 -1.155
3.781 -2.007 0.145
Mg Y Te C
1 2 1 1
Cartesian
1.890 -1.003 0.073
-0.344 -0.471 2.448
-1.131 -2.173 -0.578
0.414 -3.648 1.944
0.000 0.000 0.000
```

Computed properties:
Formation energy (no corrections) (eV per atom): -0.496
Total energy (eV for the cell shown): -29.366
V (Å³ per atom): 21.708

***

[8]
Compound: Mn4CrP2
Source: the Alexandria database
Functional: PBE-GGA
Structure: relaxed

POSCAR file:
```
Mn4CrP2
1.0
3.313 0.000 -0.764
-0.176 3.308 -0.764
0.345 0.364 9.066
Mn Cr P
4 1 2
Cartesian
2.950 3.112 5.231
2.613 1.009 3.769
0.532 0.561 2.308
0.869 2.663 3.769
0.000 0.000 0.000
2.148 2.265 1.748
1.335 1.408 5.790
```

Computed properties:
Total energy (eV for the cell shown): -56.389
V (Å³ per atom): 14.459
Calculated formation energy (eV per atom): 0.10